Record 1
Compound: Li4Pd5Au2
Source: Alexandria
Functional: PBE
Structure: relaxed

## Properties
- crystal system = monoclinic

a b c (Å): 8.759 4.041 9.602
angles (deg): 90.00 103.57 90.00
Space group C2/m (No. 12)
Inequivalent atoms, fractional coordinates:
Li 0.044 0.000 0.324 [4 per cell]
Li 0.189 0.500 0.772 [4 per cell]
Pd 0.000 0.500 0.500 [2 per cell]
Pd 0.137 0.000 0.950 [4 per cell]
Pd 0.222 0.000 0.588 [4 per cell]
Au 0.087 0.500 0.146 [4 per cell]


Record 2
Compound: Li4Pd3Au
Source: Alexandria
Functional: PBE
Structure: relaxed

## Properties
- crystal system = monoclinic
- energy above the lowest structure with this stoichiometry (meV/atom) = 126

a b c (Å): 18.066 2.937 4.590
angles (deg): 90.00 99.63 90.00
Space group C2/m (No. 12)
Inequivalent atoms, fractional coordinates:
Li 0.114 0.000 0.188 [4 per cell]
Li 0.243 0.500 0.241 [4 per cell]
Pd 0.000 0.500 0.000 [2 per cell]
Pd 0.136 0.500 0.705 [4 per cell]
Au 0.000 0.000 0.500 [2 per cell]


Ordered E_form results: -368 -329; unit meV per atom.
Ordered ρ results: 9.588 7.524; unit g cm⁻³.